Entry 1:
{"formula": "Mg2SiP2", "functional": "PBE-GGA", "state": "optimized geometry", "lattice_angstrom": [[6.904, 0.000, 0.000], [0.000, 6.904, 0.000], [0.000, 0.000, 3.644]], "species": ["Mg", "Mg", "Mg", "Mg", "Si", "Si", "P", "P", "P", "P"], "fractional_positions": [[0.148, 0.352, 0.000], [0.352, 0.852, 0.000], [0.648, 0.148, 0.000], [0.852, 0.648, 0.000], [0.000, 0.000, 0.500], [0.500, 0.500, 0.500], [0.165, 0.665, 0.500], [0.335, 0.165, 0.500], [0.665, 0.835, 0.500], [0.835, 0.335, 0.500]], "m_tot_mub_per_atom": 0.000, "sg": "P4/mbm", "formation_energy_uncorrected_ev_per_fu": -0.5, "rho_g_cm3": 2.7, "dos_ef_per_ev_atom": 0.33, "e_tot_ev_per_atom": -3.98}

Entry 2:
{"formula": "LaSc2Mn", "functional": "PBE-GGA", "state": "optimized geometry", "lattice_angstrom": [[3.329, 0.000, 0.000], [0.000, 4.882, 0.000], [-1.663, 0.000, 6.020]], "species": ["La", "Sc", "Sc", "Mn"], "fractional_positions": [[0.000, 0.000, 0.000], [0.391, 0.500, 0.717], [0.609, 0.500, 0.283], [0.000, 0.000, 0.500]], "m_tot_mub_per_atom": 0.724, "sg": "P2/m", "rho_g_cm3": 4.8, "dos_ef_per_ev_atom": 1.50, "relative_energy_mev_per_atom": 155.5, "e_tot_ev_per_atom": -6.45}

Entry 3:
{"formula": "La3NO2", "functional": "PBE-GGA", "state": "optimized geometry", "lattice_angstrom": [[7.358, 0.000, 0.000], [0.000, 5.198, 0.000], [0.000, 0.000, 11.060]], "species": ["La", "La", "La", "La", "La", "La", "La", "La", "La", "La", "La", "La", "N", "N", "N", "N", "O", "O", "O", "O", "O", "O", "O", "O"], "fractional_positions": [[0.123, 0.250, 0.082], [0.124, 0.250, 0.750], [0.128, 0.250, 0.419], [0.372, 0.750, 0.919], [0.376, 0.750, 0.250], [0.377, 0.750, 0.582], [0.623, 0.250, 0.418], [0.624, 0.250, 0.750], [0.628, 0.250, 0.081], [0.872, 0.750, 0.581], [0.876, 0.750, 0.250], [0.877, 0.750, 0.918], [0.129, 0.750, 0.081], [0.371, 0.250, 0.581], [0.629, 0.750, 0.419], [0.871, 0.250, 0.919], [0.124, 0.750, 0.416], [0.125, 0.750, 0.753], [0.375, 0.250, 0.253], [0.376, 0.250, 0.916], [0.624, 0.750, 0.084], [0.625, 0.750, 0.747], [0.875, 0.250, 0.247], [0.876, 0.250, 0.584]], "m_tot_mub_per_atom": 0.000, "sg": "Pnma", "formation_energy_uncorrected_ev_per_fu": -14.4, "rho_g_cm3": 7.3, "dos_ef_per_ev_atom": 0.33, "relative_energy_mev_per_atom": 0.0, "e_tot_ev_per_atom": -7.91}

Entry 4:
{"formula": "Ca5Sn2Bi2", "functional": "PBE-GGA", "state": "optimized geometry", "lattice_angstrom": [[8.207, -4.228, 0.000], [8.207, 4.228, 0.000], [0.000, 0.000, 8.333]], "species": ["Ca", "Ca", "Ca", "Ca", "Ca", "Ca", "Ca", "Ca", "Ca", "Ca", "Sn", "Sn", "Sn", "Sn", "Bi", "Bi", "Bi", "Bi"], "fractional_positions": [[0.000, 0.000, 0.000], [0.035, 0.687, 0.671], [0.187, 0.535, 0.171], [0.313, 0.965, 0.671], [0.465, 0.813, 0.171], [0.500, 0.500, 0.500], [0.535, 0.187, 0.829], [0.687, 0.035, 0.329], [0.813, 0.465, 0.829], [0.965, 0.313, 0.329], [0.121, 0.879, 0.378], [0.379, 0.621, 0.878], [0.621, 0.379, 0.122], [0.879, 0.121, 0.622], [0.204, 0.204, 0.000], [0.296, 0.296, 0.500], [0.704, 0.704, 0.500], [0.796, 0.796, 0.000]], "m_tot_mub_per_atom": 0.000, "sg": "Cmce", "rho_g_cm3": 4.9, "dos_ef_per_ev_atom": 0.98, "e_tot_ev_per_atom": -3.59}

Entry 5:
{"formula": "LiLaHoTc", "functional": "PBE-GGA", "state": "optimized geometry", "lattice_angstrom": [[0.000, 3.554, 3.554], [3.554, 0.000, 3.554], [3.554, 3.554, 0.000]], "species": ["Li", "La", "Ho", "Tc"], "fractional_positions": [[0.000, 0.000, 0.000], [0.250, 0.250, 0.250], [0.750, 0.750, 0.750], [0.500, 0.500, 0.500]], "m_tot_mub_per_atom": 0.000, "sg": "F-43m", "rho_g_cm3": 7.6, "dos_ef_per_ev_atom": 1.03, "e_tot_ev_per_atom": -5.42}

Entry 6:
{"formula": "Na3SiBi", "functional": "PBE-GGA", "state": "optimized geometry", "lattice_angstrom": [[5.952, 0.000, 0.000], [0.000, 5.952, 0.000], [0.000, 0.000, 5.952]], "species": ["Na", "Na", "Na", "Si", "Bi"], "fractional_positions": [[0.000, 0.000, 0.500], [0.000, 0.500, 0.000], [0.500, 0.000, 0.000], [0.500, 0.500, 0.500], [0.000, 0.000, 0.000]], "m_tot_mub_per_atom": 0.400, "sg": "Pm-3m", "formation_energy_uncorrected_ev_per_fu": 2.6, "rho_g_cm3": 2.4, "dos_ef_per_ev_atom": 1.18, "relative_energy_mev_per_atom": 108.2, "e_tot_ev_per_atom": -2.13}